(1)
CaY2Th | Alexandria via LeMat-Bulk | PBE | optimized geometry; excess energy over the best structure of this formula in the dataset = 0.135 eV/atom; N(E_F) = 6.9 states/eV per cell; crystal system = tetragonal; formation enthalpy at 0 K = 0.1739 eV per atom
1.0
5.178 0.000 0.000
0.000 5.178 0.000
0.000 0.000 5.005
Ca Y Th
1 2 1
Direct
0.000 0.000 0.000
0.000 0.500 0.500
0.500 0.000 0.500
0.500 0.500 0.000

=====

(2)
GaCl3O | Alexandria via LeMat-Bulk | PBE | optimized geometry; energy relative to the elements, uncorrected = 112.9 kJ/mol of formula units; excess energy over the best structure of this formula in the dataset = 0.207 eV/atom; N(E_F) = 2.5 states/eV per cell; crystal system = cubic
1.0
4.610 0.000 0.000
0.000 4.610 0.000
0.000 0.000 4.610
Ga Cl O
1 3 1
Direct
0.000 0.000 0.000
0.000 0.500 0.500
0.500 0.000 0.500
0.500 0.500 0.000
0.500 0.500 0.500